Compound: Sr3Ge2MoO9
Source: Alexandria via LeMat-Bulk
Functional: PBE with a Hubbard U
Structure: optimized geometry

Calculated values
Total magnetization in μB per cell: 2.0
Electronic total energy in eV per atom: -6.61

Geometry as POSCAR:
```
Sr3Ge2MoO9
1.0
5.5365 0.0000 0.0000
-2.7682 4.7947 0.0000
0.0000 0.0000 6.8696
Sr Ge Mo O
3 2 1 9
Direct
0.3333 0.6667 0.6772 Sr
0.0000 0.0000 0.0000 Sr
0.6667 0.3333 0.3228 Sr
0.3333 0.6667 0.1629 Ge
0.6667 0.3333 0.8371 Ge
0.0000 0.0000 0.5000 Mo
0.8284 0.1716 0.6782 O
0.8284 0.6569 0.6782 O
0.3431 0.1716 0.6782 O
0.6569 0.8284 0.3218 O
0.1716 0.3431 0.3218 O
0.1716 0.8284 0.3218 O
0.5000 0.0000 0.0000 O
0.0000 0.5000 0.0000 O
0.5000 0.5000 0.0000 O
```